## GePH6CCl3 (PBE)

Data for a relaxed GePH6CCl3 crystal.

```
data_GePH6CCl3
_chemical_formula_sum 'Ge1 P1 H6 C1 Cl3'
_space_group_name_H-M_alt 'P 1'
_space_group_IT_number 1
_cell_length_a 5.969
_cell_length_b 5.977
_cell_length_c 6.029
_cell_angle_alpha 79.78
_cell_angle_beta 89.42
_cell_angle_gamma 89.72
loop_
_space_group_symop_operation_xyz
'x,y,z'
loop_
_atom_site_label
_atom_site_type_symbol
_atom_site_fract_x
_atom_site_fract_y
_atom_site_fract_z
Ge1 Ge 0.000 0.000 0.000
P1 P 0.477 0.610 0.600
H1 H 0.283 0.567 0.736
H2 H 0.348 0.435 0.298
H3 H 0.470 0.835 0.485
H4 H 0.501 0.243 0.507
H5 H 0.650 0.447 0.305
H6 H 0.664 0.584 0.744
C1 C 0.496 0.415 0.407
Cl1 Cl 0.397 0.985 0.967
Cl2 Cl 0.981 0.897 0.394
Cl3 Cl 0.983 0.400 0.995
```

Output
* E: -50.15 eV for the cell shown

=====

## PmSmO3 (PBE)

Data for a relaxed PmSmO3 crystal.

```
data_PmSmO3
_chemical_formula_sum 'Pm6 Sm6 O18'
_space_group_name_H-M_alt 'R 3 2'
_space_group_IT_number 155
_space_group_name_Hall 'R 3 2"'
_cell_length_a 5.8170
_cell_length_b 5.8170
_cell_length_c 16.8469
_cell_angle_alpha 90.00
_cell_angle_beta 90.00
_cell_angle_gamma 120.00
loop_
_atom_site_label
_atom_site_type_symbol
_atom_site_fract_x
_atom_site_fract_y
_atom_site_fract_z
Pm1 Pm 0.0000 0.0000 0.1451
Sm1 Sm 0.0000 0.0000 0.3539
O1 O 0.0024 0.2926 0.2502
```

Output
* E: -243.93 eV for the cell shown

=====

## Ca3Ag8Hg (PBE)

Data for a relaxed Ca3Ag8Hg crystal.

```
data_Ca3Ag8Hg
_chemical_formula_sum 'Ca9 Ag24 Hg3'
_space_group_name_H-M_alt 'R 3 m'
_space_group_IT_number 160
_space_group_name_Hall 'R 3 -2"'
_cell_length_a 5.7089
_cell_length_b 5.7089
_cell_length_c 27.9708
_cell_angle_alpha 90.00
_cell_angle_beta 90.00
_cell_angle_gamma 120.00
loop_
_atom_site_label
_atom_site_type_symbol
_atom_site_fract_x
_atom_site_fract_y
_atom_site_fract_z
Ca1 Ca 0.0000 0.0000 0.0000
Ca2 Ca 0.0000 0.0000 0.1308
Ca3 Ca 0.0000 0.0000 0.5188
Ag1 Ag 0.0000 0.0000 0.3202
Ag2 Ag 0.0000 0.0000 0.8205
Ag3 Ag 0.0016 0.5008 0.0706
Ag4 Ag 0.1682 0.3363 0.9031
Hg1 Hg 0.0000 0.0000 0.6369
```

Output
* ΔE_f: -0.2273 eV/atom

=====

## LiSiAs2 (PBE)

Data for a relaxed LiSiAs2 crystal.

```
data_LiSiAs2
_chemical_formula_sum 'Li1 Si1 As2'
_space_group_name_H-M_alt 'P 4 m m'
_space_group_IT_number 99
_cell_length_a 3.390
_cell_length_b 3.390
_cell_length_c 6.730
_cell_angle_alpha 90.00
_cell_angle_beta 90.00
_cell_angle_gamma 90.00
loop_
_space_group_symop_operation_xyz
'x,y,z'
'-y,x,z'
'-x,-y,z'
'y,-x,z'
'-x,y,z'
'y,x,z'
'x,-y,z'
'-y,-x,z'
loop_
_atom_site_label
_atom_site_type_symbol
_atom_site_fract_x
_atom_site_fract_y
_atom_site_fract_z
Li1 Li 0.000 0.000 0.000
Si1 Si 0.500 0.500 0.234
As1 As 0.000 0.000 0.383
As2 As 0.500 0.500 0.868
```

Output
* E: -16.70 eV for the cell shown

=====

## Sc3GaO (PBE)

Data for a relaxed Sc3GaO crystal.

```
data_Sc3GaO
_chemical_formula_sum 'Sc18 Ga6 O6'
_space_group_name_H-M_alt 'R -3'
_space_group_IT_number 148
_space_group_name_Hall '-R 3'
_cell_length_a 6.0670
_cell_length_b 6.0670
_cell_length_c 16.7204
_cell_angle_alpha 90.00
_cell_angle_beta 90.00
_cell_angle_gamma 120.00
loop_
_atom_site_label
_atom_site_type_symbol
_atom_site_fract_x
_atom_site_fract_y
_atom_site_fract_z
Sc1 Sc 0.0008 0.5724 0.4165
Ga1 Ga 0.0000 0.0000 0.3834
O1 O 0.0000 0.0000 0.1644
```

Output
* E: -199.72 eV for the cell shown

=====

## BaReAu2 (PBE)

Data for a relaxed BaReAu2 crystal.

```
data_BaReAu2
_chemical_formula_sum 'Ba1 Re1 Au2'
_space_group_name_H-M_alt 'P 4/m m m'
_space_group_IT_number 123
_space_group_name_Hall '-P 4 2'
_cell_length_a 3.404
_cell_length_b 3.404
_cell_length_c 7.734
_cell_angle_alpha 90.00
_cell_angle_beta 90.00
_cell_angle_gamma 90.00
loop_
_atom_site_label
_atom_site_type_symbol
_atom_site_fract_x
_atom_site_fract_y
_atom_site_fract_z
Ba1 Ba 0.000 0.000 0.000
Re1 Re 0.000 0.000 0.500
Au1 Au 0.500 0.500 0.316
```

Output
* ΔE_f: 0.4761 eV/atom